No. 1
Below is a relaxed HfTeSN2 crystal, with properties calculated at the PBE level.

Unit cell a=4.035 b=4.035 c=4.897 alpha=90.00 beta=90.00 gamma=90.00
Atoms (fractional coordinates):
1 Te 0.000 0.000 0.000
2 S 0.000 0.000 0.500
3 Hf 0.500 0.500 0.500
4 N 0.500 0.000 0.000
5 N 0.000 0.500 0.000

Values from the calculation:
magnetic moment = 0.00 μB per formula unit
theoretical density = 7.63 g cm⁻³
formation energy without anion corrections = 97 kJ per mole of atoms

***

No. 2
Below is a relaxed LiIn2Te4 crystal, with properties calculated at the PBE level.

Unit cell a=8.595 b=8.595 c=8.632 alpha=119.85 beta=119.86 gamma=90.13
Atoms (fractional coordinates):
1 In 0.625 0.375 0.750
2 In 0.125 0.375 0.750
3 In 0.625 0.375 0.250
4 In 0.625 0.875 0.250
5 Te 0.388 0.130 0.260
6 Te 0.380 0.138 0.761
7 Te 0.869 0.128 0.740
8 Te 0.378 0.619 0.240
9 Te 0.872 0.131 0.261
10 Te 0.862 0.620 0.240
11 Te 0.381 0.622 0.760
12 Te 0.870 0.612 0.739
13 Li 0.000 0.000 0.000
14 Li 0.250 0.750 0.500

Values from the calculation:
magnetic moment = 0.00 μB per formula unit
theoretical density = 5.48 g cm⁻³
formation energy without anion corrections = -31 kJ per mole of atoms